[1]
## AlMoOs4 (meta-GGA SCAN)

Data for AlMoOs4 at its PBEsol-relaxed geometry.

Lattice parameters (Å, degrees): 5.070 5.070 5.070 60.00 60.00 60.00
Element x y z (fractional)
Al: 0.000 0.000 0.000
Mo: 0.250 0.250 0.250
Os: 0.124 0.625 0.625
Os: 0.625 0.124 0.625
Os: 0.625 0.625 0.124
Os: 0.625 0.625 0.625

Properties
- E_form: 0.403 eV per atom
- Electronic total energy: -327.7 eV/cell

***

[2]
## Zr3AlIr (meta-GGA SCAN)

Data for Zr3AlIr at its PBEsol-relaxed geometry.

Lattice parameters (Å, degrees): 4.977 4.977 4.977 90.00 90.00 90.00
Element x y z (fractional)
Zr: 0.000 0.000 0.500
Zr: 0.000 0.500 0.000
Zr: 0.500 0.000 0.000
Al: 0.500 0.500 0.500
Ir: 0.000 0.000 0.000

Properties
- E_form: -0.008 eV per atom
- Electronic total energy: -171.0 eV/cell

***

[3]
## Tb4Mg3Co2 (meta-GGA SCAN)

Data for Tb4Mg3Co2 at its PBEsol-relaxed geometry.

Lattice parameters (Å, degrees): 7.413 3.660 8.073 90.00 109.92 90.00
Element x y z (fractional)
Tb: 0.098 0.000 0.226
Tb: 0.399 0.000 0.676
Tb: 0.601 0.000 0.324
Tb: 0.902 0.000 0.774
Mg: 0.000 0.500 0.500
Mg: 0.293 0.500 0.001
Mg: 0.707 0.500 0.999
Co: 0.350 0.500 0.391
Co: 0.650 0.500 0.609

Properties
- E_form: -0.127 eV per atom
- Electronic total energy: -237.7 eV/cell

***

[4]
## Sc2CrRe (meta-GGA SCAN)

Data for Sc2CrRe at its PBEsol-relaxed geometry.

Lattice parameters (Å, degrees): 4.480 4.480 4.480 60.00 60.00 60.00
Element x y z (fractional)
Sc: 0.000 0.000 0.000
Sc: 0.250 0.250 0.250
Cr: 0.500 0.500 0.500
Re: 0.750 0.750 0.750

Properties
- E_form: 0.154 eV per atom
- Electronic total energy: -117.3 eV/cell

***

[5]
## Mn24Co5 (meta-GGA SCAN)

Data for Mn24Co5 at its PBEsol-relaxed geometry.

Lattice parameters (Å, degrees): 7.320 7.320 7.320 109.47 109.47 109.47
Element x y z (fractional)
Mn: 0.000 0.321 0.608
Mn: 0.000 0.608 0.321
Mn: 0.000 0.628 0.806
Mn: 0.000 0.806 0.628
Mn: 0.178 0.372 0.372
Mn: 0.194 0.194 0.822
Mn: 0.194 0.822 0.194
Mn: 0.287 0.679 0.679
Mn: 0.321 0.000 0.608
Mn: 0.321 0.608 0.000
Mn: 0.372 0.178 0.372
Mn: 0.372 0.372 0.178
Mn: 0.392 0.392 0.713
Mn: 0.392 0.713 0.392
Mn: 0.608 0.000 0.321
Mn: 0.608 0.321 0.000
Mn: 0.628 0.000 0.806
Mn: 0.628 0.806 0.000
Mn: 0.679 0.287 0.679
Mn: 0.679 0.679 0.287
Mn: 0.713 0.392 0.392
Mn: 0.806 0.000 0.628
Mn: 0.806 0.628 0.000
Mn: 0.822 0.194 0.194
Co: 0.000 0.000 0.000
Co: 0.000 0.000 0.356
Co: 0.000 0.356 0.000
Co: 0.356 0.000 0.000
Co: 0.644 0.644 0.644

Properties
- E_form: 0.107 eV per atom
- Electronic total energy: -521.5 eV/cell

***

[6]
## CrHgIrRh2 (meta-GGA SCAN)

Data for CrHgIrRh2 at its PBEsol-relaxed geometry.

Lattice parameters (Å, degrees): 4.644 4.644 5.064 90.00 90.00 90.00
Element x y z (fractional)
Cr: 0.000 0.000 0.000
Hg: 0.500 0.500 0.000
Ir: 0.500 0.500 0.500
Rh: 0.000 0.500 0.500
Rh: 0.500 0.000 0.500

Properties
- E_form: 1.202 eV per atom
- Electronic total energy: -219.2 eV/cell

***

[7]
## La2CdPb (meta-GGA SCAN)

Data for La2CdPb at its PBEsol-relaxed geometry.

Lattice parameters (Å, degrees): 6.218 6.218 6.218 135.84 135.84 64.22
Element x y z (fractional)
La: 0.000 0.000 0.000
La: 0.750 0.250 0.500
Cd: 0.250 0.750 0.500
Pb: 0.500 0.500 0.000

Properties
- E_form: -0.584 eV per atom
- Electronic total energy: -194.7 eV/cell

***

[8]
## ReF6 (meta-GGA SCAN)

Data for ReF6 at its PBEsol-relaxed geometry.

Lattice parameters (Å, degrees): 5.561 5.561 5.561 109.47 109.47 109.47
Element x y z (fractional)
Re: 0.000 0.000 0.000
F: 0.000 0.289 0.289
F: 0.000 0.711 0.711
F: 0.289 0.000 0.289
F: 0.289 0.289 0.000
F: 0.711 0.000 0.711
F: 0.711 0.711 0.000

Properties
- Electronic total energy: -106.9 eV/cell
- Uncorrected formation energy: -14.60 eV/f.u.

***

[9]
## MnZn2Co (meta-GGA SCAN)

Data for MnZn2Co at its PBEsol-relaxed geometry.

Lattice parameters (Å, degrees): 2.554 2.554 7.184 90.00 90.00 90.00
Element x y z (fractional)
Mn: 0.000 0.000 0.000
Zn: 0.000 0.000 0.547
Zn: 0.500 0.500 0.258
Co: 0.500 0.500 0.794

Properties
- E_form: 0.053 eV per atom
- Electronic total energy: -62.4 eV/cell

***

[10]
## KAgTe (meta-GGA SCAN)

Data for KAgTe at its PBEsol-relaxed geometry.

Lattice parameters (Å, degrees): 4.697 4.697 4.897 90.00 90.00 120.00
Element x y z (fractional)
K: 0.000 0.000 0.000
Ag: 0.667 0.333 0.500
Te: 0.333 0.667 0.500

Properties
- Electronic total energy: -79.1 eV/cell
- Uncorrected formation energy: -2.18 eV/f.u.

***

[11]
## CuNi6Sb (meta-GGA SCAN)

Data for CuNi6Sb at its PBEsol-relaxed geometry.

Lattice parameters (Å, degrees): 6.197 6.197 10.159 90.00 90.00 109.61
Element x y z (fractional)
Cu: 0.000 0.000 0.244
Cu: 0.000 0.000 0.756
Cu: 0.251 0.749 0.000
Cu: 0.749 0.251 0.000
Ni: 0.000 0.000 0.000
Ni: 0.000 0.000 0.500
Ni: 0.116 0.371 0.120
Ni: 0.116 0.371 0.880
Ni: 0.122 0.367 0.370
Ni: 0.122 0.367 0.630
Ni: 0.246 0.754 0.242
Ni: 0.246 0.754 0.758
Ni: 0.367 0.122 0.370
Ni: 0.367 0.122 0.630
Ni: 0.371 0.116 0.120
Ni: 0.371 0.116 0.880
Ni: 0.500 0.500 0.000
Ni: 0.500 0.500 0.500
Ni: 0.629 0.884 0.120
Ni: 0.629 0.884 0.880
Ni: 0.633 0.878 0.370
Ni: 0.633 0.878 0.630
Ni: 0.754 0.246 0.242
Ni: 0.754 0.246 0.758
Ni: 0.878 0.633 0.370
Ni: 0.878 0.633 0.630
Ni: 0.884 0.629 0.120
Ni: 0.884 0.629 0.880
Sb: 0.251 0.749 0.500
Sb: 0.500 0.500 0.243
Sb: 0.500 0.500 0.757
Sb: 0.749 0.251 0.500

Properties
- Electronic total energy: -598.1 eV/cell
- Uncorrected formation energy: -0.04 eV/f.u.

***

[12]
## KTlSb (meta-GGA SCAN)

Data for KTlSb at its PBEsol-relaxed geometry.

Lattice parameters (Å, degrees): 5.574 5.574 3.343 90.00 90.00 120.00
Element x y z (fractional)
K: 0.000 0.000 0.000
Tl: 0.667 0.333 0.374
Sb: 0.333 0.667 0.556

Properties
- Electronic total energy: -118.8 eV/cell
- Uncorrected formation energy: -0.82 eV/f.u.